# Pr3HoSc2Te6, optimized geometry, DFT PBE
# - Volume: 29.7 A^3/atom
# - Calculated total energy: -5.494 eV per atom
# - Magnetization: 0.00 μB per atom
data_Pr3HoSc2Te6
_chemical_formula_sum 'Pr6 Ho2 Sc4 Te12'
_cell_length_a 19.240
_cell_length_b 4.317
_cell_length_c 8.892
_cell_angle_alpha 90.00
_cell_angle_beta 105.27
_cell_angle_gamma 90.00
_space_group_name_H-M_alt 'C 1 2/m 1'
_space_group_IT_number 12
_space_group_name_Hall '-C 2y'
loop_
_atom_site_label
_atom_site_type_symbol
_atom_site_fract_x
_atom_site_fract_y
_atom_site_fract_z
Pr1 Pr 0.000 0.000 0.000
Pr2 Pr 0.163 0.500 0.328
Ho1 Ho 0.000 0.000 0.500
Sc1 Sc 0.167 0.500 0.833
Te1 Te 0.009 0.500 0.744
Te2 Te 0.165 0.000 0.600
Te3 Te 0.173 0.000 0.066

***

# Pr2Ho3ScTe6, optimized geometry, DFT PBE
# - Volume: 29.7 A^3/atom
# - Calculated total energy: -5.319 eV per atom
# - Magnetization: 0.00 μB per atom
data_Pr2Ho3ScTe6
_chemical_formula_sum 'Pr4 Ho6 Sc2 Te12'
_cell_length_a 19.132
_cell_length_b 4.340
_cell_length_c 8.813
_cell_angle_alpha 90.00
_cell_angle_beta 103.08
_cell_angle_gamma 90.00
_space_group_name_H-M_alt 'C 1 2/m 1'
_space_group_IT_number 12
_space_group_name_Hall '-C 2y'
loop_
_atom_site_label
_atom_site_type_symbol
_atom_site_fract_x
_atom_site_fract_y
_atom_site_fract_z
Pr1 Pr 0.170 0.000 0.335
Ho1 Ho 0.000 0.500 0.500
Ho2 Ho 0.177 0.000 0.838
Sc1 Sc 0.000 0.500 0.000
Te1 Te 0.006 0.000 0.761
Te2 Te 0.158 0.500 0.068
Te3 Te 0.161 0.500 0.592

***

# Pr3Ho2ScTe6, optimized geometry, DFT PBE
# - Volume: 30.3 A^3/atom
# - Calculated total energy: -5.376 eV per atom
# - Magnetization: 0.00 μB per atom
data_Pr3Ho2ScTe6
_chemical_formula_sum 'Pr6 Ho4 Sc2 Te12'
_cell_length_a 19.368
_cell_length_b 4.345
_cell_length_c 8.951
_cell_angle_alpha 90.00
_cell_angle_beta 105.27
_cell_angle_gamma 90.00
_space_group_name_H-M_alt 'C 1 2/m 1'
_space_group_IT_number 12
_space_group_name_Hall '-C 2y'
loop_
_atom_site_label
_atom_site_type_symbol
_atom_site_fract_x
_atom_site_fract_y
_atom_site_fract_z
Pr1 Pr 0.000 0.000 0.000
Pr2 Pr 0.170 0.500 0.337
Ho1 Ho 0.166 0.500 0.833
Sc1 Sc 0.000 0.000 0.500
Te1 Te 0.002 0.500 0.732
Te2 Te 0.158 0.000 0.591
Te3 Te 0.170 0.000 0.075

***

# PrHoThSc, optimized geometry, DFT PBE
# - Energy relative to the elements: 0.043 eV/atom
# - Volume: 30.8 A^3/atom
# - E above lowest polymorph: 0 meV/atom
# - Calculated total energy: -5.734 eV per atom
# - Magnetization: 0.00 μB per atom
data_PrHoThSc
_chemical_formula_sum 'Pr3 Ho3 Th3 Sc3'
_cell_length_a 3.5490
_cell_length_b 3.5490
_cell_length_c 33.8817
_cell_angle_alpha 90.00
_cell_angle_beta 90.00
_cell_angle_gamma 120.00
_space_group_name_H-M_alt 'R 3 m'
_space_group_IT_number 160
_space_group_name_Hall 'R 3 -2"'
loop_
_atom_site_label
_atom_site_type_symbol
_atom_site_fract_x
_atom_site_fract_y
_atom_site_fract_z
Pr1 Pr 0.0000 0.0000 0.0000
Ho1 Ho 0.0000 0.0000 0.7561
Th1 Th 0.0000 0.0000 0.1718
Sc1 Sc 0.0000 0.0000 0.5830

***

# PrHo2ThSc4, optimized geometry, DFT PBE
# - Energy relative to the elements: 0.043 eV/atom
# - Volume: 28.3 A^3/atom
# - Calculated total energy: -5.792 eV per atom
# - Magnetization: 0.00 μB per atom
data_PrHo2ThSc4
_chemical_formula_sum 'Pr1 Ho2 Th1 Sc4'
_cell_length_a 5.003
_cell_length_b 5.013
_cell_length_c 9.033
_cell_angle_alpha 90.00
_cell_angle_beta 90.00
_cell_angle_gamma 90.00
_space_group_name_H-M_alt 'P m m m'
_space_group_IT_number 47
_space_group_name_Hall '-P 2 2'
loop_
_atom_site_label
_atom_site_type_symbol
_atom_site_fract_x
_atom_site_fract_y
_atom_site_fract_z
Pr1 Pr 0.000 0.000 0.000
Ho1 Ho 0.000 0.000 0.500
Ho2 Ho 0.500 0.500 0.000
Th1 Th 0.500 0.500 0.500
Sc1 Sc 0.000 0.500 0.254
Sc2 Sc 0.500 0.000 0.255

***

# Pr2Ho5ThSc, optimized geometry, DFT PBE
# - Energy relative to the elements: 0.170 eV/atom
# - Volume: 32.4 A^3/atom
# - Calculated total energy: -4.963 eV per atom
# - Magnetization: 0.00 μB per atom
data_Pr2Ho5ThSc
_chemical_formula_sum 'Pr8 Ho20 Th4 Sc4'
_cell_length_a 5.588
_cell_length_b 22.568
_cell_length_c 9.256
_cell_angle_alpha 90.00
_cell_angle_beta 90.00
_cell_angle_gamma 90.00
_space_group_name_H-M_alt 'C m c 21'
_space_group_IT_number 36
_space_group_name_Hall 'C 2c -2'
loop_
_atom_site_label
_atom_site_type_symbol
_atom_site_fract_x
_atom_site_fract_y
_atom_site_fract_z
Pr1 Pr 0.000 0.115 0.000
Pr2 Pr 0.000 0.139 0.560
Ho1 Ho 0.000 0.002 0.273
Ho2 Ho 0.000 0.266 0.933
Ho3 Ho 0.000 0.297 0.562
Ho4 Ho 0.000 0.386 0.239
Ho5 Ho 0.000 0.480 0.527
Th1 Th 0.000 0.398 0.825
Sc1 Sc 0.000 0.217 0.260

***

# PrHoThSc, optimized geometry, DFT PBE
# - Energy relative to the elements: 0.111 eV/atom
# - Volume: 30.9 A^3/atom
# - E above lowest polymorph: 68 meV/atom
# - Calculated total energy: -5.666 eV per atom
# - Magnetization: 0.00 μB per atom
data_PrHoThSc
_chemical_formula_sum 'Pr4 Ho4 Th4 Sc4'
_cell_length_a 7.904
_cell_length_b 7.904
_cell_length_c 7.904
_cell_angle_alpha 90.00
_cell_angle_beta 90.00
_cell_angle_gamma 90.00
_space_group_name_H-M_alt 'F -4 3 m'
_space_group_IT_number 216
_space_group_name_Hall 'F -4 2 3'
loop_
_atom_site_label
_atom_site_type_symbol
_atom_site_fract_x
_atom_site_fract_y
_atom_site_fract_z
Pr1 Pr 0.000 0.000 0.000
Ho1 Ho 0.250 0.250 0.250
Th1 Th 0.000 0.000 0.500
Sc1 Sc 0.250 0.250 0.750

***

# PrHoSc2Tl4, optimized geometry, DFT PBE
# - Energy relative to the elements: -0.291 eV/atom
# - Volume: 26.2 A^3/atom
# - Calculated total energy: -4.227 eV per atom
# - Magnetization: 0.00 μB per atom
data_PrHoSc2Tl4
_chemical_formula_sum 'Pr3 Ho3 Sc6 Tl12'
_cell_length_a 5.2863
_cell_length_b 5.2863
_cell_length_c 25.9914
_cell_angle_alpha 90.00
_cell_angle_beta 90.00
_cell_angle_gamma 120.00
_space_group_name_H-M_alt 'R -3 m'
_space_group_IT_number 166
_space_group_name_Hall '-R 3 2"'
loop_
_atom_site_label
_atom_site_type_symbol
_atom_site_fract_x
_atom_site_fract_y
_atom_site_fract_z
Pr1 Pr 0.0000 0.0000 0.0000
Ho1 Ho 0.0000 0.0000 0.5000
Sc1 Sc 0.0000 0.0000 0.2495
Tl1 Tl 0.0000 0.0000 0.1272
Tl2 Tl 0.0000 0.0000 0.3775

***

# PrHo2ScTl2, optimized geometry, DFT PBE
# - Energy relative to the elements: -0.251 eV/atom
# - Volume: 28.5 A^3/atom
# - Calculated total energy: -4.418 eV per atom
# - Magnetization: 0.00 μB per atom
data_PrHo2ScTl2
_chemical_formula_sum 'Pr2 Ho4 Sc2 Tl4'
_cell_length_a 5.015
_cell_length_b 9.877
_cell_length_c 6.899
_cell_angle_alpha 90.00
_cell_angle_beta 90.00
_cell_angle_gamma 90.00
_space_group_name_H-M_alt 'P m c 21'
_space_group_IT_number 26
_space_group_name_Hall 'P 2c -2'
loop_
_atom_site_label
_atom_site_type_symbol
_atom_site_fract_x
_atom_site_fract_y
_atom_site_fract_z
Pr1 Pr 0.000 0.047 0.000
Ho1 Ho 0.000 0.316 0.393
Ho2 Ho 0.500 0.451 0.099
Sc1 Sc 0.500 0.200 0.716
Tl1 Tl 0.000 0.366 0.841
Tl2 Tl 0.500 0.130 0.279

***

# Pr2HoTm2Sc2, optimized geometry, DFT PBE
# - Energy relative to the elements: 0.176 eV/atom
# - Volume: 31.1 A^3/atom
# - Calculated total energy: -4.930 eV per atom
# - Magnetization: 0.00 μB per atom
data_Pr2HoTm2Sc2
_chemical_formula_sum 'Pr4 Ho2 Tm4 Sc4'
_cell_length_a 11.152
_cell_length_b 3.433
_cell_length_c 11.612
_cell_angle_alpha 90.00
_cell_angle_beta 101.64
_cell_angle_gamma 90.00
_space_group_name_H-M_alt 'C 1 2/m 1'
_space_group_IT_number 12
_space_group_name_Hall '-C 2y'
loop_
_atom_site_label
_atom_site_type_symbol
_atom_site_fract_x
_atom_site_fract_y
_atom_site_fract_z
Pr1 Pr 0.093 0.000 0.270
Ho1 Ho 0.000 0.500 0.000
Tm1 Tm 0.153 0.000 0.574
Sc1 Sc 0.206 0.000 0.877

***

# PrHo2Tm4Sc, optimized geometry, DFT PBE
# - Energy relative to the elements: 0.448 eV/atom
# - Volume: 31.6 A^3/atom
# - Calculated total energy: -4.321 eV per atom
# - Magnetization: 0.29 μB per atom
data_PrHo2Tm4Sc
_chemical_formula_sum 'Pr4 Ho8 Tm16 Sc4'
_cell_length_a 6.692
_cell_length_b 11.550
_cell_length_c 13.071
_cell_angle_alpha 90.00
_cell_angle_beta 90.00
_cell_angle_gamma 90.00
_space_group_name_H-M_alt 'I m m a'
_space_group_IT_number 74
_space_group_name_Hall '-I 2b 2'
loop_
_atom_site_label
_atom_site_type_symbol
_atom_site_fract_x
_atom_site_fract_y
_atom_site_fract_z
Pr1 Pr 0.250 0.250 0.250
Ho1 Ho 0.000 0.000 0.000
Ho2 Ho 0.250 0.250 0.750
Tm1 Tm 0.000 0.002 0.742
Tm2 Tm 0.244 0.250 0.502
Sc1 Sc 0.000 0.000 0.500

***

# PrHo2TmSc4, optimized geometry, DFT PBE
# - Energy relative to the elements: 0.441 eV/atom
# - Volume: 29.1 A^3/atom
# - Calculated total energy: -5.026 eV per atom
# - Magnetization: 0.39 μB per atom
data_PrHo2TmSc4
_chemical_formula_sum 'Pr4 Ho8 Tm4 Sc16'
_cell_length_a 6.532
_cell_length_b 11.269
_cell_length_c 12.664
_cell_angle_alpha 90.00
_cell_angle_beta 90.00
_cell_angle_gamma 90.00
_space_group_name_H-M_alt 'I m m a'
_space_group_IT_number 74
_space_group_name_Hall '-I 2b 2'
loop_
_atom_site_label
_atom_site_type_symbol
_atom_site_fract_x
_atom_site_fract_y
_atom_site_fract_z
Pr1 Pr 0.250 0.250 0.250
Ho1 Ho 0.000 0.000 0.000
Ho2 Ho 0.250 0.250 0.750
Tm1 Tm 0.000 0.000 0.500
Sc1 Sc 0.000 0.003 0.749
Sc2 Sc 0.250 0.250 0.502